# 1
SrTh2F11 (PBE, optimized geometry); DFT total energy = -6.390 eV per atom
1.0
-4.3634 5.5120 5.7908
4.3634 -5.5120 5.7908
4.3634 5.5120 -5.7908
Sr Th F
2 4 22
Direct
0.2500 0.2500 0.0000
0.7500 0.7500 0.0000
0.1822 0.6438 0.8260
0.3178 0.1438 0.4616
0.6822 0.8562 0.5384
0.8178 0.3562 0.1740
0.0000 0.5000 0.5000
0.0408 0.9636 0.2814
0.0578 0.3639 0.1521
0.1822 0.4636 0.9228
0.2119 0.9057 0.8479
0.2157 0.3768 0.5925
0.2843 0.8768 0.1611
0.2881 0.1361 0.6938
0.3178 0.2406 0.2814
0.4422 0.5943 0.3062
0.4592 0.7406 0.9228
0.5000 0.0000 0.5000
0.5408 0.2594 0.0772
0.5578 0.4057 0.6938
0.6822 0.7594 0.7186
0.7119 0.8639 0.3062
0.7157 0.1232 0.8389
0.7843 0.6232 0.4075
0.7881 0.0943 0.1521
0.8178 0.5364 0.0772
0.9422 0.6361 0.8479
0.9592 0.0364 0.7186


# 2
SrTiF2 (PBE, optimized geometry); DFT total energy = -5.254 eV per atom
1.0
-2.4679 2.4679 6.4341
2.4679 -2.4679 6.4341
2.4679 2.4679 -6.4341
Sr Ti F
2 2 4
Direct
0.0000 0.0000 0.0000
0.7500 0.2500 0.5000
0.2500 0.7500 0.5000
0.5000 0.5000 0.0000
0.2684 0.6250 0.1434
0.3750 0.5184 0.6434
0.4816 0.1250 0.8566
0.8750 0.7316 0.3566


Listing Fermi-level density of states for the structures above in their given order: 1.2236; 0.5926 states/eV/atom.
Listing magnetic moment for the structures above in their given order: 2.499; 3.990 Bohr magnetons per cell.